Material: Ca4Tl2Ag3
Method: DFT, GGA-PBE
State: relaxed

Computed properties:
calculated formation energy: -0.305 eV/atom
VASP energy: -2.67 eV/atom
magnetic moment: 0.00 μB/cell

Lattice parameters (Å, degrees): 5.105 5.722 9.376 78.00 90.00 63.51
Element x y z (fractional)
Ca1 0.643 0.713 0.895
Ca2 0.064 0.872 0.344
Ca3 0.936 0.128 0.656
Ca4 0.357 0.287 0.105
Tl1 0.268 0.464 0.732
Tl2 0.732 0.536 0.268
Ag1 0.365 0.271 0.438
Ag2 0.000 0.000 0.000
Ag3 0.635 0.729 0.562

Material: Ca6Tl5Ag
Method: DFT, GGA-PBE
State: relaxed

Computed properties:
calculated formation energy: -0.416 eV/atom
VASP energy: -2.64 eV/atom
magnetic moment: 0.00 μB/cell

Lattice parameters (Å, degrees): 5.441 7.744 8.626 90.00 71.61 90.00
Element x y z (fractional)
Ca1 0.837 0.752 0.326
Ca2 0.837 0.248 0.326
Ca3 0.500 0.244 0.000
Ca4 0.500 0.756 0.000
Ca5 0.163 0.752 0.674
Ca6 0.163 0.248 0.674
Tl1 0.668 0.500 0.663
Tl2 0.330 0.000 0.340
Tl3 0.000 0.500 0.000
Tl4 0.670 0.000 0.660
Tl5 0.332 0.500 0.337
Ag1 0.000 0.000 0.000

Material: Ca3TlAg4
Method: DFT, GGA-PBE
State: relaxed

Computed properties:
calculated formation energy: -0.239 eV/atom
VASP energy: -2.71 eV/atom
magnetic moment: 0.00 μB/cell

Lattice parameters (Å, degrees): 5.121 7.472 10.239 90.00 90.00 90.00
Element x y z (fractional)
Ca1 0.000 0.000 0.000
Ca2 0.000 0.000 0.500
Ca3 0.501 0.000 0.750
Ca4 0.499 0.000 0.250
Ca5 0.501 0.500 0.750
Ca6 0.499 0.500 0.250
Tl1 0.000 0.500 0.000
Tl2 0.000 0.500 0.500
Ag1 0.500 0.749 0.000
Ag2 0.500 0.749 0.500
Ag3 0.500 0.251 0.000
Ag4 0.500 0.251 0.500
Ag5 0.001 0.749 0.750
Ag6 0.999 0.749 0.250
Ag7 0.999 0.251 0.250
Ag8 0.001 0.251 0.750

Material: CaTl4Ag
Method: DFT, GGA-PBE
State: relaxed

Computed properties:
calculated formation energy: 0.090 eV/atom
VASP energy: -2.30 eV/atom
magnetic moment: 0.00 μB/cell

Lattice parameters (Å, degrees): 6.355 6.355 6.355 60.00 60.00 60.00
Element x y z (fractional)
Ca1 0.000 0.000 0.000
Tl1 0.874 0.375 0.375
Tl2 0.375 0.375 0.874
Tl3 0.375 0.874 0.375
Tl4 0.375 0.375 0.375
Ag1 0.750 0.750 0.750

Material: Ca2TlAg2
Method: DFT, GGA-PBE
State: relaxed

Computed properties:
calculated formation energy: -0.217 eV/atom
VASP energy: -2.63 eV/atom
magnetic moment: 0.00 μB/cell

Lattice parameters (Å, degrees): 3.891 3.891 9.469 78.14 78.14 90.00
Element x y z (fractional)
Tl1 0.000 0.000 0.000
Ca1 0.391 0.391 0.219
Ca2 0.609 0.609 0.781
Ag1 0.750 0.250 0.500
Ag2 0.250 0.750 0.500

Material: Ca3Tl12Ag
Method: DFT, GGA-PBE
State: relaxed

Computed properties:
calculated formation energy: -0.137 eV/atom
VASP energy: -2.47 eV/atom
magnetic moment: 0.00 μB/cell

Lattice parameters (Å, degrees): 4.929 4.929 18.660 90.00 90.00 90.00
Element x y z (fractional)
Ca1 0.000 0.000 0.245
Ca2 0.000 0.000 0.500
Ca3 0.000 0.000 0.755
Tl1 0.500 0.500 0.000
Tl2 0.500 0.500 0.246
Tl3 0.500 0.500 0.500
Tl4 0.500 0.500 0.754
Tl5 0.500 0.000 0.116
Tl6 0.500 0.000 0.372
Tl7 0.500 0.000 0.628
Tl8 0.500 0.000 0.884
Tl9 0.000 0.500 0.116
Tl10 0.000 0.500 0.372
Tl11 0.000 0.500 0.628
Tl12 0.000 0.500 0.884
Ag1 0.000 0.000 0.000

Material: Ca8Tl2Ag
Method: DFT, GGA-PBE
State: relaxed

Computed properties:
calculated formation energy: -0.254 eV/atom
VASP energy: -2.40 eV/atom
magnetic moment: 0.00 μB/cell

Lattice parameters (Å, degrees): 5.446 7.465 9.857 107.95 106.04 90.00
Element x y z (fractional)
Ca1 0.403 0.556 0.807
Ca2 0.661 0.957 0.322
Ca3 0.797 0.702 0.595
Ca4 0.975 0.214 0.949
Ca5 0.203 0.298 0.405
Ca6 0.339 0.043 0.678
Ca7 0.597 0.444 0.193
Ca8 0.025 0.786 0.051
Tl1 0.818 0.295 0.637
Tl2 0.182 0.705 0.363
Ag1 0.500 0.000 0.000

Material: CaTl3Ag8
Method: DFT, GGA-PBE
State: relaxed

Computed properties:
calculated formation energy: -0.037 eV/atom
VASP energy: -2.70 eV/atom
magnetic moment: 0.00 μB/cell

Lattice parameters (Å, degrees): 5.666 5.666 9.933 73.43 73.43 60.00
Element x y z (fractional)
Ca1 0.873 0.873 0.380
Tl1 0.377 0.377 0.870
Tl2 0.999 0.999 0.003
Tl3 0.500 0.500 0.499
Ag1 0.936 0.437 0.189
Ag2 0.438 0.938 0.686
Ag3 0.437 0.437 0.189
Ag4 0.938 0.938 0.686
Ag5 0.188 0.188 0.437
Ag6 0.688 0.688 0.937
Ag7 0.437 0.936 0.189
Ag8 0.938 0.438 0.686

Material: Ca3Tl4Ag
Method: DFT, GGA-PBE
State: relaxed

Computed properties:
calculated formation energy: -0.293 eV/atom
VASP energy: -2.58 eV/atom
magnetic moment: 0.00 μB/cell

Lattice parameters (Å, degrees): 3.813 3.813 15.219 90.00 90.00 90.00
Element x y z (fractional)
Ca1 0.500 0.500 0.240
Ca2 0.500 0.500 0.500
Ca3 0.500 0.500 0.760
Tl1 0.000 0.000 0.895
Tl2 0.000 0.000 0.105
Tl3 0.000 0.000 0.372
Tl4 0.000 0.000 0.628
Ag1 0.500 0.500 0.000

Material: Ca6Tl3Ag
Method: DFT, GGA-PBE
State: relaxed

Computed properties:
calculated formation energy: -0.330 eV/atom
VASP energy: -2.53 eV/atom
magnetic moment: 0.00 μB/cell

Lattice parameters (Å, degrees): 5.502 9.493 12.229 109.27 90.00 90.00
Element x y z (fractional)
Ca1 0.250 0.477 0.086
Ca2 0.750 0.523 0.914
Ca3 0.250 0.137 0.160
Ca4 0.750 0.863 0.840
Ca5 0.250 0.662 0.667
Ca6 0.750 0.338 0.333
Ca7 0.250 0.240 0.499
Ca8 0.750 0.760 0.501
Ca9 0.250 0.845 0.325
Ca10 0.750 0.155 0.675
Ca11 0.250 0.108 0.866
Ca12 0.750 0.892 0.134
Tl1 0.250 0.526 0.376
Tl2 0.750 0.474 0.624
Tl3 0.250 0.396 0.783
Tl4 0.750 0.604 0.217
Tl5 0.250 0.776 0.973
Tl6 0.750 0.224 0.027
Ag1 0.250 0.954 0.601
Ag2 0.750 0.046 0.399

Material: Ca3Tl5Ag2
Method: DFT, GGA-PBE
State: relaxed

Computed properties:
calculated formation energy: -0.125 eV/atom
VASP energy: -2.48 eV/atom
magnetic moment: 0.00 μB/cell

Lattice parameters (Å, degrees): 10.217 9.148 9.409 119.09 122.88 90.00
Element x y z (fractional)
Ca1 0.250 0.000 0.000
Ca2 0.750 0.000 0.000
Ca3 0.643 0.465 0.286
Ca4 0.357 0.535 0.714
Ca5 0.143 0.820 0.286
Ca6 0.857 0.180 0.714
Tl1 0.250 0.500 0.000
Tl2 0.750 0.500 0.000
Tl3 0.000 0.750 0.499
Tl4 0.500 0.250 0.501
Tl5 0.000 0.250 0.501
Tl6 0.500 0.750 0.499
Tl7 0.886 0.569 0.772
Tl8 0.114 0.431 0.228
Tl9 0.386 0.203 0.772
Tl10 0.614 0.797 0.228
Ag1 0.865 0.858 0.731
Ag2 0.135 0.142 0.269
Ag3 0.365 0.873 0.731
Ag4 0.635 0.127 0.269

Material: Ca5TlAg4
Method: DFT, GGA-PBE
State: relaxed

Computed properties:
calculated formation energy: -0.333 eV/atom
VASP energy: -2.71 eV/atom
magnetic moment: 0.00 μB/cell

Lattice parameters (Å, degrees): 3.747 3.747 18.770 90.00 90.00 90.00
Element x y z (fractional)
Ca1 0.500 0.500 0.109
Ca2 0.500 0.500 0.305
Ca3 0.500 0.500 0.500
Ca4 0.500 0.500 0.695
Ca5 0.500 0.500 0.891
Tl1 0.000 0.000 0.000
Ag1 0.000 0.000 0.208
Ag2 0.000 0.000 0.402
Ag3 0.000 0.000 0.598
Ag4 0.000 0.000 0.792

| no. | N(E_F) (states/eV/f.u.) |
| --- | --- |
| 1 | 5.70 |
| 2 | 7.58 |
| 3 | 3.81 |
| 4 | 4.12 |
| 5 | 3.34 |
| 6 | 10.16 |
| 7 | 9.14 |
| 8 | 5.72 |
| 9 | 4.46 |
| 10 | 4.69 |
| 11 | 6.10 |
| 12 | 7.56 |